No. 1
# ZrBeCo4Ge2 PBE relaxed
data_ZrBeCo4Ge2
_chemical_formula_sum 'Zr3 Be3 Co12 Ge6'
_symmetry_space_group_name_H-M 'R -3 m'
_symmetry_Int_Tables_number 166
_symmetry_space_group_name_Hall '-R 3 2"'
_cell_length_a 3.9449
_cell_length_b 3.9449
_cell_length_c 22.1490
_cell_angle_alpha 90.00
_cell_angle_beta 90.00
_cell_angle_gamma 120.00
loop_
_atom_site_label
_atom_site_fract_x
_atom_site_fract_y
_atom_site_fract_z
Zr1 0.0000 0.0000 0.0000
Be1 0.0000 0.0000 0.5000
Co1 0.0000 0.0000 0.1326
Co2 0.0000 0.0000 0.4018
Ge1 0.0000 0.0000 0.2431
# - D(E_F): 17.314 states/eV per cell
# - Volume: 298.50 Å³/cell
# - E_form: -334 meV per atom

***

No. 2
# Er3CuHg2 PBE relaxed
data_Er3CuHg2
_chemical_formula_sum 'Er3 Cu1 Hg2'
_symmetry_space_group_name_H-M 'P 4/m m m'
_symmetry_Int_Tables_number 123
_symmetry_space_group_name_Hall '-P 4 2'
_cell_length_a 3.568
_cell_length_b 3.568
_cell_length_c 11.120
_cell_angle_alpha 90.00
_cell_angle_beta 90.00
_cell_angle_gamma 90.00
loop_
_atom_site_label
_atom_site_fract_x
_atom_site_fract_y
_atom_site_fract_z
Er1 0.000 0.000 0.000
Er2 0.000 0.000 0.352
Cu1 0.500 0.500 0.500
Hg1 0.500 0.500 0.174
# - D(E_F): 3.613 states/eV per cell
# - Volume: 141.55 Å³/cell
# - E_form: -402 meV per atom

***

No. 3
# Ba2NaPb PBE relaxed
data_Ba2NaPb
_chemical_formula_sum 'Ba4 Na2 Pb2'
_symmetry_space_group_name_H-M 'I m m m'
_symmetry_Int_Tables_number 71
_symmetry_space_group_name_Hall '-I 2 2'
_cell_length_a 4.049
_cell_length_b 6.624
_cell_length_c 14.396
_cell_angle_alpha 90.00
_cell_angle_beta 90.00
_cell_angle_gamma 90.00
loop_
_atom_site_label
_atom_site_fract_x
_atom_site_fract_y
_atom_site_fract_z
Ba1 0.000 0.000 0.243
Na1 0.000 0.000 0.500
Pb1 0.000 0.000 0.000
# - D(E_F): 10.209 states/eV per cell
# - Volume: 386.08 Å³/cell
# - E_form: 207 meV per atom

***

No. 4
# ScAg PBE relaxed
data_ScAg
_chemical_formula_sum 'Sc8 Ag8'
_symmetry_space_group_name_H-M 'P 4/m'
_symmetry_Int_Tables_number 83
_symmetry_space_group_name_Hall '-P 4'
_cell_length_a 10.741
_cell_length_b 10.741
_cell_length_c 3.135
_cell_angle_alpha 90.00
_cell_angle_beta 90.00
_cell_angle_gamma 90.00
loop_
_atom_site_label
_atom_site_fract_x
_atom_site_fract_y
_atom_site_fract_z
Sc1 0.096 0.625 0.000
Sc2 0.165 0.365 0.500
Ag1 0.093 0.157 0.000
Ag2 0.327 0.571 0.500
# - D(E_F): 18.669 states/eV per cell
# - Volume: 361.70 Å³/cell
# - E_form: 88 meV per atom

***

No. 5
# TlAgSb2 PBE relaxed
data_TlAgSb2
_chemical_formula_sum 'Tl2 Ag2 Sb4'
_symmetry_space_group_name_H-M 'C m m m'
_symmetry_Int_Tables_number 65
_symmetry_space_group_name_Hall '-C 2 2'
_cell_length_a 6.002
_cell_length_b 8.542
_cell_length_c 4.466
_cell_angle_alpha 90.00
_cell_angle_beta 90.00
_cell_angle_gamma 90.00
loop_
_atom_site_label
_atom_site_fract_x
_atom_site_fract_y
_atom_site_fract_z
Tl1 0.000 0.000 0.000
Ag1 0.000 0.500 0.000
Sb1 0.000 0.299 0.500
# - D(E_F): 3.511 states/eV per cell
# - Volume: 228.98 Å³/cell
# - E_form (uncorrected): 70.2 meV/atom

***

Q: Which of these has the highest D(E_F)?
A: ScAg

***

Q: Among the records above, which one has the lowest D(E_F)?
A: TlAgSb2

***

Q: Which of these has the lowest D(E_F)?
A: TlAgSb2